First-principles (GGA-PBE) data for a relaxed Na3Y2SbTe6 crystal, as listed in Alexandria via LeMat-Bulk.

Values from the calculation:
M_tot ... 0.00 μB/cell
Fermi-level density of states ... 0.00 states/eV/f.u.
ΔE_f (raw) ... -1.036 eV per atom

abc: 7.7000 7.7000 7.9749
angles: 99.25 99.25 120.01
Sites, in units of the cell vectors:
1 Na 0.0000 0.0000 0.0000
2 Na 0.3370 0.6630 0.0000
3 Na 0.6630 0.3370 0.0000
4 Y 0.1671 0.8329 0.5000
5 Y 0.8329 0.1671 0.5000
6 Sb 0.5000 0.5000 0.5000
7 Te 0.0915 0.4228 0.2688
8 Te 0.2448 0.2448 0.7293
9 Te 0.4228 0.0915 0.2688
10 Te 0.5772 0.9085 0.7312
11 Te 0.7552 0.7552 0.2707
12 Te 0.9085 0.5772 0.7312